# 1
LaCd2Rh: optimized geometry, PBE-GGA.

a = 4.2946 Å, b = 4.2946 Å, c = 9.8553 Å
α = 90.00°, β = 90.00°, γ = 90.00°
Space group I4/mmm (No. 139)
Inequivalent atoms, fractional coordinates:
La1 0.0000 0.0000 0.0000 x2
Cd1 0.0000 0.5000 0.2500 x4
Rh1 0.0000 0.0000 0.5000 x2

Output
Formation energy from the elements: -0.32 eV per atom
Volume: 182 Å³/cell
Electronic total energy: -30.8 eV for the cell shown
M_tot: 0.000 μB/f.u.


# 2
YNi2SbI: optimized geometry, PBE-GGA.

a = 4.9508 Å, b = 4.9508 Å, c = 5.7299 Å
α = 90.00°, β = 90.00°, γ = 90.00°
Space group P4/mmm (No. 123)
Inequivalent atoms, fractional coordinates:
Y1 0.0000 0.0000 0.0000 x1
Ni1 0.0000 0.5000 0.0000 x2
Sb1 0.5000 0.5000 0.5000 x1
I1 0.0000 0.0000 0.5000 x1

Output
Formation energy without anion corrections: 921 meV/atom
Volume: 140 Å³/cell
Electronic total energy: -19.1 eV for the cell shown
M_tot: 0.000 μB/f.u.


# 3
KTl2CdSb2: optimized geometry, PBE-GGA.

a = 5.1239 Å, b = 9.0766 Å, c = 8.3288 Å
α = 90.00°, β = 90.00°, γ = 90.00°
Space group Pmc2_1 (No. 26)
Inequivalent atoms, fractional coordinates:
K1 0.0000 0.0644 0.0000 x2
Tl1 0.0000 0.3312 0.3451 x2
Tl2 0.5000 0.4230 0.0203 x2
Cd1 0.5000 0.1752 0.6498 x2
Sb1 0.0000 0.3420 0.7206 x2
Sb2 0.5000 0.1353 0.2875 x2

Output
Formation energy without anion corrections: -155 meV/atom
Volume: 387 Å³/cell
Electronic total energy: -31.8 eV for the cell shown
M_tot: 0.000 μB/f.u.